# Pm2Pr5Y PBE relaxed
# Distance to the lowest polymorph of the same formula = 0 meV per atom
# Energy = -79.52 eV/cell
# Energy of formation = 0.103 eV/f.u.
data_Pm2Pr5Y
_symmetry_space_group_name_H-M 'P b a m'
_symmetry_Int_Tables_number 55
_symmetry_space_group_name_Hall '-P 2 2ab'
_cell_length_a 7.3503
_cell_length_b 14.7433
_cell_length_c 5.2123
_cell_angle_alpha 90.00
_cell_angle_beta 90.00
_cell_angle_gamma 90.00
loop_
_atom_site_label
_atom_site_fract_x
_atom_site_fract_y
_atom_site_fract_z
Pm1 0.2502 0.1241 0.0000
Pr1 0.0000 0.0000 0.5000
Pr2 0.0000 0.2511 0.5000
Pr3 0.2495 0.3758 0.0000
Y1 0.0000 0.5000 0.5000

# LiH4IrPd2 PBE relaxed
# Energy = -70.62 eV/cell
data_LiH4IrPd2
_symmetry_space_group_name_H-M 'I -4 2 m'
_symmetry_Int_Tables_number 121
_symmetry_space_group_name_Hall 'I -4 2'
_cell_length_a 4.1545
_cell_length_b 4.1545
_cell_length_c 8.7392
_cell_angle_alpha 90.00
_cell_angle_beta 90.00
_cell_angle_gamma 90.00
loop_
_atom_site_label
_atom_site_fract_x
_atom_site_fract_y
_atom_site_fract_z
Li1 0.0000 0.0000 0.0000
H1 0.2205 0.2205 0.6279
Ir1 0.0000 0.0000 0.5000
Pd1 0.0000 0.5000 0.2500

# InAgRu3 PBE relaxed
# Distance to the lowest polymorph of the same formula = 0 meV per atom
# Energy = -23.33 eV/cell
# Energy of formation = 10.087 eV/f.u.
data_InAgRu3
_symmetry_space_group_name_H-M 'P m -3 m'
_symmetry_Int_Tables_number 221
_symmetry_space_group_name_Hall '-P 4 2 3'
_cell_length_a 4.8255
_cell_length_b 4.8255
_cell_length_c 4.8255
_cell_angle_alpha 90.00
_cell_angle_beta 90.00
_cell_angle_gamma 90.00
loop_
_atom_site_label
_atom_site_fract_x
_atom_site_fract_y
_atom_site_fract_z
In1 0.0000 0.0000 0.0000
Ag1 0.5000 0.5000 0.5000
Ru1 0.0000 0.5000 0.5000

# SiGe2OsBr PBE relaxed
# Energy relative to the elements, uncorrected = 4.13 eV per formula unit
# Energy = -23.43 eV/cell
data_SiGe2OsBr
_symmetry_space_group_name_H-M 'P 4/m m m'
_symmetry_Int_Tables_number 123
_symmetry_space_group_name_Hall '-P 4 2'
_cell_length_a 4.7057
_cell_length_b 4.7057
_cell_length_c 5.5662
_cell_angle_alpha 90.00
_cell_angle_beta 90.00
_cell_angle_gamma 90.00
loop_
_atom_site_label
_atom_site_fract_x
_atom_site_fract_y
_atom_site_fract_z
Si1 0.0000 0.0000 0.0000
Ge1 0.0000 0.5000 0.5000
Os1 0.5000 0.5000 0.5000
Br1 0.5000 0.5000 0.0000

# Al4Zn3Ag2 PBE relaxed
# Energy = -24.09 eV/cell
# Energy of formation = 0.401 eV/f.u.
data_Al4Zn3Ag2
_symmetry_space_group_name_H-M 'P 3 m 1'
_symmetry_Int_Tables_number 156
_symmetry_space_group_name_Hall 'P 3 -2"'
_cell_length_a 2.9127
_cell_length_b 2.9127
_cell_length_c 20.4296
_cell_angle_alpha 90.00
_cell_angle_beta 90.00
_cell_angle_gamma 120.00
loop_
_atom_site_label
_atom_site_fract_x
_atom_site_fract_y
_atom_site_fract_z
Al1 0.0000 0.0000 0.0000
Al2 0.0000 0.0000 0.2148
Al3 0.6667 0.3333 0.6700
Al4 0.6667 0.3333 0.8864
Zn1 0.0000 0.0000 0.7753
Zn2 0.6667 0.3333 0.1093
Zn3 0.6667 0.3333 0.4511
Ag1 0.0000 0.0000 0.3435
Ag2 0.0000 0.0000 0.5610

# TaCr2Os PBE relaxed
# Distance to the lowest polymorph of the same formula = 45 meV per atom
# Energy = -84.59 eV/cell
# Energy of formation = 0.033 eV/f.u.
data_TaCr2Os
_symmetry_space_group_name_H-M 'I m m m'
_symmetry_Int_Tables_number 71
_symmetry_space_group_name_Hall '-I 2 2'
_cell_length_a 3.0565
_cell_length_b 4.3209
_cell_length_c 8.5632
_cell_angle_alpha 90.00
_cell_angle_beta 90.00
_cell_angle_gamma 90.00
loop_
_atom_site_label
_atom_site_fract_x
_atom_site_fract_y
_atom_site_fract_z
Ta1 0.0000 0.0000 0.0000
Cr1 0.0000 0.5000 0.2519
Os1 0.0000 0.0000 0.5000

Q: The lowest energy belongs to which entry?
A: TaCr2Os